(1)
Material: TlOF2
Method: DFT, PBE
State: relaxed

a = 6.923 Å, b = 6.923 Å, c = 6.923 Å
α = 138.88°, β = 138.88°, γ = 59.55°
Fractional coordinates of all 8 atoms:
1 Tl 0.000 0.000 0.000
2 Tl 0.750 0.250 0.500
3 O 0.250 0.750 0.500
4 O 0.500 0.500 0.000
5 F 0.301 0.625 0.176
6 F 0.375 0.551 0.676
7 F 0.449 0.125 0.824
8 F 0.875 0.699 0.324

## Properties
ΔE_f (raw): -231 meV per atom
Energy relative to the lowest polymorph listed for this composition: 789 meV/atom
D(E_F): 2.805 states/eV/cell
Calculated total energy: -2.998 eV/atom
Space group: I-42d (122)
ρ: 6.040 g/cm³
Magnetic moment: 0.0 μB per formula unit

=====

(2)
Material: K3RbAu
Method: DFT, PBE
State: relaxed

a = 8.066 Å, b = 8.391 Å, c = 9.242 Å
α = 77.17°, β = 72.28°, γ = 77.92°
Fractional coordinates of all 10 atoms:
1 K 0.216 0.432 0.077
2 K 0.241 0.380 0.592
3 K 0.280 0.865 0.732
4 K 0.720 0.135 0.268
5 K 0.759 0.620 0.408
6 K 0.784 0.568 0.923
7 Rb 0.265 0.894 0.220
8 Rb 0.735 0.106 0.780
9 Au 0.052 0.165 0.945
10 Au 0.948 0.835 0.055

## Properties
DFT formation energy: -3.1 kcal/mol of atoms
Energy relative to the lowest polymorph listed for this composition: 0 meV/atom
D(E_F): 5.887 states/eV/cell
Calculated total energy: -1.641 eV/atom
Space group: P-1 (2)
ρ: 2.312 g/cm³
Magnetic moment: 0.0 μB per formula unit

=====

(3)
Material: LiAc2Hg2
Method: DFT, PBE
State: relaxed

a = 8.440 Å, b = 8.440 Å, c = 8.440 Å
α = 131.33°, β = 69.48°, γ = 133.65°
Fractional coordinates of all 10 atoms:
1 Li 0.250 0.250 0.000
2 Li 0.750 0.750 0.000
3 Ac 0.148 0.687 0.835
4 Ac 0.352 0.187 0.539
5 Ac 0.648 0.813 0.461
6 Ac 0.852 0.313 0.165
7 Hg 0.111 0.206 0.317
8 Hg 0.389 0.706 0.094
9 Hg 0.611 0.294 0.906
10 Hg 0.889 0.794 0.683

## Properties
DFT formation energy: -6.9 kcal/mol of atoms
Energy relative to the lowest polymorph listed for this composition: 60 meV/atom
D(E_F): 11.902 states/eV/cell
Calculated total energy: -2.446 eV/atom
Space group: Ibam (72)
ρ: 8.934 g/cm³
Magnetic moment: 0.0 μB per formula unit

=====

(4)
Material: ZrAg3Pb
Method: DFT, PBE
State: relaxed

a = 5.187 Å, b = 5.187 Å, c = 5.187 Å
α = 90.00°, β = 90.00°, γ = 90.00°
Fractional coordinates of all 5 atoms:
1 Zr 0.000 0.000 0.000
2 Ag 0.000 0.500 0.500
3 Ag 0.500 0.000 0.500
4 Ag 0.500 0.500 0.000
5 Pb 0.500 0.500 0.500

## Properties
DFT formation energy: 22.6 kcal/mol of atoms
Energy relative to the lowest polymorph listed for this composition: 0 meV/atom
D(E_F): 2.680 states/eV/cell
Calculated total energy: -3.180 eV/atom
Space group: Pm-3m (221)
ρ: 7.402 g/cm³
Magnetic moment: 2.4 μB per formula unit

=====

(5)
Material: Rb3HoNb2O9
Method: DFT, PBE
State: relaxed

a = 6.006 Å, b = 6.006 Å, c = 7.392 Å
α = 90.00°, β = 90.00°, γ = 120.00°
Fractional coordinates of all 15 atoms:
1 Rb 0.000 0.000 0.000
2 Rb 0.333 0.667 0.671
3 Rb 0.667 0.333 0.329
4 Ho 0.000 0.000 0.500
5 Nb 0.333 0.667 0.180
6 Nb 0.667 0.333 0.820
7 O 0.000 0.500 0.000
8 O 0.176 0.352 0.317
9 O 0.176 0.824 0.317
10 O 0.352 0.176 0.683
11 O 0.500 0.000 0.000
12 O 0.500 0.500 0.000
13 O 0.648 0.824 0.317
14 O 0.824 0.176 0.683
15 O 0.824 0.648 0.683

## Properties
ΔE_f (raw): -2266 meV per atom
D(E_F): 5.399 states/eV/cell
Calculated total energy: -7.082 eV/atom
Space group: P-3m1 (164)
ρ: 5.401 g/cm³
Magnetic moment: 2.1 μB per formula unit

=====

(6)
Material: Th2AgHg2
Method: DFT, PBE
State: relaxed

a = 6.152 Å, b = 6.152 Å, c = 6.713 Å
α = 122.86°, β = 122.86°, γ = 40.13°
Fractional coordinates of all 5 atoms:
1 Th 0.223 0.223 0.225
2 Th 0.777 0.777 0.775
3 Ag 0.000 0.000 0.500
4 Hg 0.499 0.499 0.216
5 Hg 0.501 0.501 0.784

## Properties
DFT formation energy: -2.2 kcal/mol of atoms
D(E_F): 6.254 states/eV/cell
Calculated total energy: -3.753 eV/atom
Space group: C2/m (12)
ρ: 12.089 g/cm³
Magnetic moment: 0.0 μB per formula unit